A plane-wave DFT calculation with GGA+U was carried out for an optimized crystal structure of ZnCoNF2.

Summary:
Uncorrected energy: -0.151 hartree per atom
Volume: 11.75 Å³/atom
Distance to the lowest polymorph of the same formula: 0.0 meV/atom

Cell and atoms, written as extended XYZ:
```
5
Lattice="3.918 0.000 0.000 0.000 3.918 0.000 0.000 0.000 3.825" Properties=species:S:1:pos:R:3 pbc="T T T"
Zn 0.000 0.000 0.000
Co 1.959 1.959 1.913
N 1.959 1.959 0.000
F 0.000 1.959 1.913
F 1.959 0.000 1.913
```